Below is crystalline ZnHg2Pb at its relaxed geometry, with properties calculated at the PBE level.

The structure belongs to space group P2/m (No. 10); the cell edges are 3.7315, 4.7131 and 5.8400 Å and the angles 90.00°, 102.73° and 90.00°. The inequivalent atoms are Zn at (0.0000, 0.0000, 0.0000), Hg at (0.1763, 0.5000, 0.7746) and Pb at (0.5000, 0.0000, 0.5000).

The calculated volume comes out at 100.2 Å³/cell. As for the formation energy: 93 meV per atom.


Below is crystalline ZnHgPb at its relaxed geometry, with properties calculated at the PBE level.

The structure belongs to space group P3m1 (No. 156); the cell edges are 4.7509, 4.7509 and 3.8140 Å and the angles 90.00°, 90.00° and 120.00°. The inequivalent atoms are Zn at (0.0000, 0.0000, 0.0000), Hg at (0.6667, 0.3333, 0.9976) and Pb at (0.3333, 0.6667, 0.4985).

The calculated volume comes out at 74.6 Å³/cell. As for the formation energy: 101 meV per atom.


Below is crystalline ZnHgPb2 at its relaxed geometry, with properties calculated at the PBE level.

The structure belongs to space group Immm (No. 71); the cell edges are 4.3924, 5.3269 and 9.0798 Å and the angles 90.00°, 90.00° and 90.00°. The inequivalent atoms are Zn at (0.0000, 0.0000, 0.0000), Hg at (0.0000, 0.0000, 0.5000) and Pb at (0.0000, 0.5000, 0.2682).

The calculated volume comes out at 212.5 Å³/cell. Its energy above the most stable polymorph in this dataset is 40 meV per atom. As for the formation energy: 122 meV per atom.


Below is crystalline ZnHgPb2 at its relaxed geometry, with properties calculated at the PBE level.

The structure belongs to space group R3m (No. 160, hexagonal axes); the cell edges are 4.7938, 4.7938 and 17.3837 Å and the angles 90.00°, 90.00° and 120.00°. The inequivalent atoms are Zn at (0.0000, 0.0000, 0.0000), Hg at (0.0000, 0.0000, 0.8300), Pb at (0.0000, 0.0000, 0.3994) and Pb at (0.0000, 0.0000, 0.6046).

The calculated volume comes out at 346.0 Å³/cell. Its energy above the most stable polymorph in this dataset is 39 meV per atom. As for the formation energy: 120 meV per atom.


Among the records above, which one has the lowest calculated volume?
ZnHgPb